Record 1
Crystalline HgBrOF2 at its relaxed geometry, computed with GGA-PBE.

CIF file:
```
data_HgBrOF2
_chemical_formula_sum 'Hg1 Br1 O1 F2'
_space_group_name_H-M_alt 'P 4/m m m'
_space_group_IT_number 123
_space_group_name_Hall '-P 4 2'
_cell_length_a 4.493
_cell_length_b 4.493
_cell_length_c 4.352
_cell_angle_alpha 90.00
_cell_angle_beta 90.00
_cell_angle_gamma 90.00
loop_
_atom_site_label
_atom_site_type_symbol
_atom_site_fract_x
_atom_site_fract_y
_atom_site_fract_z
Hg1 Hg 0.000 0.000 0.000
Br1 Br 0.500 0.500 0.500
O1 O 0.000 0.000 0.500
F1 F 0.000 0.500 0.000
```

Summary:
Energy relative to the lowest polymorph listed for this composition, eV per atom: 0.000
Energy relative to the elements, uncorrected, meV/atom: -150
Calculated volume, Å³/f.u.: 87.8



Record 2
Crystalline NdSc2Co at its relaxed geometry, computed with GGA-PBE.

CIF file:
```
data_NdSc2Co
_chemical_formula_sum 'Nd3 Sc6 Co3'
_space_group_name_H-M_alt 'R -3 m'
_space_group_IT_number 166
_space_group_name_Hall '-R 3 2"'
_cell_length_a 3.5885
_cell_length_b 3.5885
_cell_length_c 26.0532
_cell_angle_alpha 90.00
_cell_angle_beta 90.00
_cell_angle_gamma 120.00
loop_
_atom_site_label
_atom_site_type_symbol
_atom_site_fract_x
_atom_site_fract_y
_atom_site_fract_z
Nd1 Nd 0.0000 0.0000 0.0000
Sc1 Sc 0.0000 0.0000 0.2204
Co1 Co 0.0000 0.0000 0.5000
```

Summary:
Energy relative to the lowest polymorph listed for this composition, eV per atom: 0.133
Formation energy from the elements, kJ/mol of formula units: -4
Calculated volume, Å³/f.u.: 96.8



Record 3
Crystalline HgNF2 at its relaxed geometry, computed with GGA-PBE.

CIF file:
```
data_HgNF2
_chemical_formula_sum 'Hg3 N3 F6'
_space_group_name_H-M_alt 'R -3 m'
_space_group_IT_number 166
_space_group_name_Hall '-R 3 2"'
_cell_length_a 3.0717
_cell_length_b 3.0717
_cell_length_c 22.2622
_cell_angle_alpha 90.00
_cell_angle_beta 90.00
_cell_angle_gamma 120.00
loop_
_atom_site_label
_atom_site_type_symbol
_atom_site_fract_x
_atom_site_fract_y
_atom_site_fract_z
Hg1 Hg 0.0000 0.0000 0.0000
N1 N 0.0000 0.0000 0.5000
F1 F 0.0000 0.0000 0.1223
```

Summary:
Energy relative to the lowest polymorph listed for this composition, eV per atom: 0.518
Energy relative to the elements, uncorrected, meV/atom: 787
Calculated volume, Å³/f.u.: 60.6



| no. | E_tot (eV per atom) |
| --- | --- |
| 1 | -2.285 |
| 2 | -6.145 |
| 3 | -2.306 |